## TiIn2AsRh (PBEsol)

Data for a relaxed structure of TiIn2AsRh.

Summary:
VASP energy, eV/atom: -4.790
Energy of formation, eV/atom: 0.72

Lattice parameters (Å, degrees): 5.154 5.154 4.450 90.00 90.00 90.00
Space group P4/mmm (No. 123)
Symmetry-distinct sites (fractional):
Ti 0.000 0.000 0.000 [1 per cell]
In 0.000 0.500 0.500 [2 per cell]
As 0.500 0.500 0.500 [1 per cell]
Rh 0.500 0.500 0.000 [1 per cell]



## KScAsC2 (PBEsol)

Data for a relaxed structure of KScAsC2.

Summary:
VASP energy, eV/atom: -5.054
Energy of formation, eV/atom: 1.37

Lattice parameters (Å, degrees): 4.427 4.427 5.027 90.00 90.00 90.00
Space group P4/mmm (No. 123)
Symmetry-distinct sites (fractional):
K 0.000 0.000 0.000 [1 per cell]
Sc 0.500 0.500 0.500 [1 per cell]
As 0.500 0.500 0.000 [1 per cell]
C 0.000 0.500 0.500 [2 per cell]